Record 1
# Be4CdSi (GGA-PBE, optimized geometry)
# Total energy   -3.14 eV/atom
# Spin magnetization   0.000 μB per atom
# Raw formation energy   0.40 eV/atom
data_Be4CdSi
_chemical_formula_sum 'Be16 Cd4 Si4'
_cell_length_a 6.548
_cell_length_b 6.548
_cell_length_c 6.548
_cell_angle_alpha 90.00
_cell_angle_beta 90.00
_cell_angle_gamma 90.00
_space_group_name_H-M_alt 'F -4 3 m'
_space_group_IT_number 216
_space_group_name_Hall 'F -4 2 3'
loop_
_atom_site_label
_atom_site_type_symbol
_atom_site_fract_x
_atom_site_fract_y
_atom_site_fract_z
Be1 Be 0.123 0.123 0.123
Cd1 Cd 0.000 0.000 0.500
Si1 Si 0.250 0.250 0.750

***

Record 2
# BeCdSi (GGA-PBE, optimized geometry)
# Total energy   -3.02 eV/atom
# Spin magnetization   0.000 μB per atom
# Raw formation energy   0.33 eV/atom
data_BeCdSi
_chemical_formula_sum 'Be1 Cd1 Si1'
_cell_length_a 3.8595
_cell_length_b 3.8595
_cell_length_c 3.8874
_cell_angle_alpha 90.00
_cell_angle_beta 90.00
_cell_angle_gamma 120.00
_space_group_name_H-M_alt 'P -6 m 2'
_space_group_IT_number 187
_space_group_name_Hall 'P -6 2'
loop_
_atom_site_label
_atom_site_type_symbol
_atom_site_fract_x
_atom_site_fract_y
_atom_site_fract_z
Be1 Be 0.0000 0.0000 0.0000
Cd1 Cd 0.6667 0.3333 0.5000
Si1 Si 0.3333 0.6667 0.0000

***

Record 3
# BeCdSi (GGA-PBE, optimized geometry)
# Total energy   -2.88 eV/atom
# Spin magnetization   0.000 μB per atom
# Raw formation energy   0.47 eV/atom
data_BeCdSi
_chemical_formula_sum 'Be2 Cd2 Si2'
_cell_length_a 2.643
_cell_length_b 3.539
_cell_length_c 10.592
_cell_angle_alpha 90.00
_cell_angle_beta 90.00
_cell_angle_gamma 90.00
_space_group_name_H-M_alt 'I m m 2'
_space_group_IT_number 44
_space_group_name_Hall 'I 2 -2'
loop_
_atom_site_label
_atom_site_type_symbol
_atom_site_fract_x
_atom_site_fract_y
_atom_site_fract_z
Be1 Be 0.000 0.000 0.000
Cd1 Cd 0.000 0.000 0.303
Si1 Si 0.000 0.000 0.586

***

What did the second record say?
# BeCdSi (GGA-PBE, optimized geometry)
# Total energy   -3.02 eV/atom
# Spin magnetization   0.000 μB per atom
# Raw formation energy   0.33 eV/atom
data_BeCdSi
_chemical_formula_sum 'Be1 Cd1 Si1'
_cell_length_a 3.8595
_cell_length_b 3.8595
_cell_length_c 3.8874
_cell_angle_alpha 90.00
_cell_angle_beta 90.00
_cell_angle_gamma 120.00
_space_group_name_H-M_alt 'P -6 m 2'
_space_group_IT_number 187
_space_group_name_Hall 'P -6 2'
loop_
_atom_site_label
_atom_site_type_symbol
_atom_site_fract_x
_atom_site_fract_y
_atom_site_fract_z
Be1 Be 0.0000 0.0000 0.0000
Cd1 Cd 0.6667 0.3333 0.5000
Si1 Si 0.3333 0.6667 0.0000